LiMgAg2 | GGA-PBE | relaxed

Cell and atoms, written as extended XYZ:
```
4
Lattice="4.545 0.000 0.000 0.000 4.545 0.000 0.000 0.000 3.363" Properties=species:S:1:pos:R:3 pbc="T T T"
Li 0.000 0.000 0.000
Mg 2.273 2.273 0.000
Ag 0.000 2.273 1.682
Ag 2.273 0.000 1.682
```

Values from the calculation:
The final energy is -2.5170 eV per atom.